[1]
{
  "formula": "Zn2InAg2",
  "functional": "PBE-GGA",
  "state": "relaxed",
  "cell": [[-2.860, 5.357, 5.107], [-7.375, -2.524, -1.481], [0.232, -1.965, 2.191]],
  "species": ["Zn", "Zn", "Zn", "Zn", "Ag", "Ag", "Ag", "Ag", "In", "In"],
  "fractional_positions": [[0.168, 0.668, 0.500], [0.668, 0.832, 0.500], [0.832, 0.332, 0.500], [0.332, 0.168, 0.500], [0.371, 0.871, 0.000], [0.871, 0.629, 0.000], [0.629, 0.129, 0.000], [0.129, 0.371, 0.000], [0.000, 0.000, 0.000], [0.500, 0.500, 0.000]],
  "volume_a3_per_cell": 185.85,
  "dos_at_fermi_per_ev_cell": 3.096,
  "relative_energy_mev_per_atom": 21,
  "crystal_system": "tetragonal",
  "e_form_mev_per_atom": 25,
  "magmom_total_mub_per_cell": 0.0
}



[2]
{
  "formula": "Zn9InAg2",
  "functional": "PBE-GGA",
  "state": "relaxed",
  "cell": [[4.968, 0.000, 1.479], [2.264, 4.422, 1.479], [0.007, 0.004, 9.063]],
  "species": ["Zn", "Zn", "Zn", "Zn", "Zn", "Zn", "Zn", "Zn", "Zn", "In", "Ag", "Ag"],
  "fractional_positions": [[0.667, 0.667, 0.000], [0.333, 0.333, 0.000], [0.500, 0.500, 0.500], [0.412, 0.412, 0.257], [0.918, 0.412, 0.257], [0.412, 0.918, 0.257], [0.588, 0.588, 0.743], [0.588, 0.082, 0.743], [0.082, 0.588, 0.743], [0.000, 0.000, 0.000], [0.856, 0.856, 0.431], [0.144, 0.144, 0.569]],
  "volume_a3_per_cell": 199.07,
  "dos_at_fermi_per_ev_cell": 4.407,
  "crystal_system": "trigonal",
  "e_form_mev_per_atom": 36,
  "magmom_total_mub_per_cell": 0.0
}



[3]
{
  "formula": "Zn2InAg7",
  "functional": "PBE-GGA",
  "state": "relaxed",
  "cell": [[-2.674, -3.611, 0.189], [4.467, -0.513, -0.090], [0.262, 0.374, 10.860]],
  "species": ["Zn", "Zn", "In", "Ag", "Ag", "Ag", "Ag", "Ag", "Ag", "Ag"],
  "fractional_positions": [[0.667, 0.333, 0.286], [0.333, 0.667, 0.700], [0.000, 0.000, 0.053], [0.333, 0.667, 0.454], [0.333, 0.667, 0.195], [0.000, 0.000, 0.347], [0.000, 0.000, 0.653], [0.667, 0.333, 0.546], [0.667, 0.333, 0.812], [0.333, 0.667, 0.938]],
  "volume_a3_per_cell": 190.38,
  "dos_at_fermi_per_ev_cell": 2.625,
  "relative_energy_mev_per_atom": 0,
  "crystal_system": "trigonal",
  "e_form_mev_per_atom": 65,
  "magmom_total_mub_per_cell": 0.0
}



[4]
{
  "formula": "ZnIn2Ag2",
  "functional": "PBE-GGA",
  "state": "relaxed",
  "cell": [[-2.928, -7.573, 2.603], [5.996, -0.236, 6.058], [-1.886, 1.389, 1.921]],
  "species": ["Zn", "Zn", "Ag", "Ag", "Ag", "Ag", "In", "In", "In", "In"],
  "fractional_positions": [[0.000, 0.000, 0.000], [0.500, 0.500, 0.000], [0.119, 0.619, 0.500], [0.619, 0.881, 0.500], [0.881, 0.381, 0.500], [0.381, 0.119, 0.500], [0.320, 0.820, 0.000], [0.820, 0.680, 0.000], [0.680, 0.180, 0.000], [0.180, 0.320, 0.000]],
  "volume_a3_per_cell": 220.21,
  "dos_at_fermi_per_ev_cell": 3.480,
  "relative_energy_mev_per_atom": 110,
  "crystal_system": "tetragonal",
  "e_form_mev_per_atom": 134,
  "magmom_total_mub_per_cell": 0.0
}



[5]
{
  "formula": "Zn2InAg",
  "functional": "PBE-GGA",
  "state": "relaxed",
  "cell": [[4.912, 0.000, 0.000], [0.000, 4.912, 0.000], [0.000, 0.000, 3.086]],
  "species": ["Ag", "In", "Zn", "Zn"],
  "fractional_positions": [[0.500, 0.000, 0.500], [0.000, 0.500, 0.500], [0.000, 0.000, 0.000], [0.500, 0.500, 0.000]],
  "volume_a3_per_cell": 74.45,
  "dos_at_fermi_per_ev_cell": 1.211,
  "crystal_system": "tetragonal",
  "e_form_mev_per_atom": 105,
  "magmom_total_mub_per_cell": 0.0
}



[6]
{
  "formula": "Zn6InAg12",
  "functional": "PBE-GGA",
  "state": "relaxed",
  "cell": [[-7.465, 0.517, 1.430], [1.342, -6.144, -4.299], [3.807, -0.617, 6.569]],
  "species": ["Zn", "Zn", "Zn", "Zn", "Zn", "Zn", "In", "Ag", "Ag", "Ag", "Ag", "Ag", "Ag", "Ag", "Ag", "Ag", "Ag", "Ag", "Ag"],
  "fractional_positions": [[0.361, 0.500, 0.861], [0.639, 0.500, 0.139], [0.500, 0.861, 0.361], [0.500, 0.139, 0.639], [0.861, 0.361, 0.500], [0.139, 0.639, 0.500], [0.000, 0.000, 0.000], [0.272, 0.090, 0.818], [0.272, 0.455, 0.182], [0.728, 0.545, 0.818], [0.728, 0.910, 0.182], [0.090, 0.818, 0.272], [0.455, 0.182, 0.272], [0.545, 0.818, 0.728], [0.910, 0.182, 0.728], [0.818, 0.272, 0.090], [0.182, 0.272, 0.455], [0.818, 0.728, 0.545], [0.182, 0.728, 0.910]],
  "volume_a3_per_cell": 340.31,
  "dos_at_fermi_per_ev_cell": 4.402,
  "relative_energy_mev_per_atom": 0,
  "crystal_system": "cubic",
  "e_form_mev_per_atom": 89,
  "magmom_total_mub_per_cell": 0.0
}



[7]
{
  "formula": "Zn3InAg",
  "functional": "PBE-GGA",
  "state": "relaxed",
  "cell": [[-3.747, -2.164, -2.389], [-1.083, -2.606, 4.058], [-3.037, 3.600, 1.501]],
  "species": ["Zn", "Zn", "Zn", "Ag", "In"],
  "fractional_positions": [[0.000, 0.500, 0.000], [0.000, 0.000, 0.500], [0.500, 0.000, 0.000], [0.000, 0.000, 0.000], [0.500, 0.500, 0.500]],
  "volume_a3_per_cell": 120.78,
  "dos_at_fermi_per_ev_cell": 2.480,
  "relative_energy_mev_per_atom": 179,
  "crystal_system": "cubic",
  "e_form_mev_per_atom": 322,
  "magmom_total_mub_per_cell": 0.0
}



[8]
{
  "formula": "ZnIn2Ag9",
  "functional": "PBE-GGA",
  "state": "relaxed",
  "cell": [[4.196, 0.000, 0.000], [0.000, 4.196, 0.000], [0.000, 0.000, 12.472]],
  "species": ["Zn", "In", "In", "Ag", "Ag", "Ag", "Ag", "Ag", "Ag", "Ag", "Ag", "Ag"],
  "fractional_positions": [[0.000, 0.000, 0.000], [0.000, 0.000, 0.329], [0.000, 0.000, 0.671], [0.500, 0.500, 0.000], [0.500, 0.500, 0.329], [0.500, 0.500, 0.671], [0.500, 0.000, 0.157], [0.500, 0.000, 0.500], [0.500, 0.000, 0.843], [0.000, 0.500, 0.157], [0.000, 0.500, 0.500], [0.000, 0.500, 0.843]],
  "volume_a3_per_cell": 219.58,
  "dos_at_fermi_per_ev_cell": 3.699,
  "crystal_system": "tetragonal",
  "e_form_mev_per_atom": -14,
  "magmom_total_mub_per_cell": 0.0
}



[9]
{
  "formula": "Zn2In2Ag",
  "functional": "PBE-GGA",
  "state": "relaxed",
  "cell": [[-0.091, 5.347, 2.157], [-1.138, 2.499, -6.244], [-4.667, -5.600, 2.335]],
  "species": ["Zn", "Zn", "Zn", "Zn", "In", "In", "In", "In", "Ag", "Ag"],
  "fractional_positions": [[0.726, 0.899, 0.304], [0.274, 0.101, 0.696], [0.774, 0.595, 0.696], [0.226, 0.405, 0.304], [0.181, 0.961, 0.242], [0.819, 0.039, 0.758], [0.319, 0.718, 0.758], [0.681, 0.282, 0.242], [0.250, 0.502, 0.000], [0.750, 0.498, 0.000]],
  "volume_a3_per_cell": 211.59,
  "dos_at_fermi_per_ev_cell": 4.402,
  "relative_energy_mev_per_atom": 0,
  "crystal_system": "monoclinic",
  "e_form_mev_per_atom": 54,
  "magmom_total_mub_per_cell": 0.0
}



[10]
{
  "formula": "Zn2InAg2",
  "functional": "PBE-GGA",
  "state": "relaxed",
  "cell": [[-3.565, -0.973, -6.988], [-4.957, -5.225, 3.257], [-1.877, 2.188, 0.653]],
  "species": ["Zn", "Zn", "Zn", "Zn", "Ag", "Ag", "Ag", "Ag", "In", "In"],
  "fractional_positions": [[0.382, 0.882, 0.000], [0.882, 0.618, 0.000], [0.618, 0.118, 0.000], [0.118, 0.382, 0.000], [0.179, 0.679, 0.500], [0.679, 0.821, 0.500], [0.821, 0.321, 0.500], [0.321, 0.179, 0.500], [0.000, 0.000, 0.000], [0.500, 0.500, 0.000]],
  "volume_a3_per_cell": 184.67,
  "dos_at_fermi_per_ev_cell": 2.379,
  "relative_energy_mev_per_atom": 14,
  "crystal_system": "tetragonal",
  "e_form_mev_per_atom": 17,
  "magmom_total_mub_per_cell": 0.0
}



[11]
{
  "formula": "Zn2In2Ag5",
  "functional": "PBE-GGA",
  "state": "relaxed",
  "cell": [[-4.485, -5.539, 1.141], [4.255, -2.860, 2.843], [-2.349, 7.673, 5.189]],
  "species": ["Zn", "Zn", "Zn", "Zn", "In", "In", "In", "In", "Ag", "Ag", "Ag", "Ag", "Ag", "Ag", "Ag", "Ag", "Ag", "Ag"],
  "fractional_positions": [[0.126, 0.606, 0.136], [0.874, 0.470, 0.864], [0.510, 0.106, 0.136], [0.490, 0.970, 0.864], [0.000, 0.037, 0.000], [0.500, 0.537, 0.000], [0.195, 0.286, 0.500], [0.805, 0.786, 0.500], [0.137, 0.673, 0.772], [0.863, 0.901, 0.228], [0.135, 0.173, 0.772], [0.865, 0.401, 0.228], [0.416, 0.952, 0.330], [0.584, 0.622, 0.670], [0.414, 0.452, 0.330], [0.586, 0.122, 0.670], [0.205, 0.787, 0.500], [0.795, 0.287, 0.500]],
  "volume_a3_per_cell": 353.29,
  "dos_at_fermi_per_ev_cell": 5.864,
  "relative_energy_mev_per_atom": 37,
  "crystal_system": "orthorhombic",
  "e_form_mev_per_atom": 61,
  "magmom_total_mub_per_cell": 0.0
}



[12]
{
  "formula": "Zn2InAg",
  "functional": "PBE-GGA",
  "state": "relaxed",
  "cell": [[-3.587, -0.497, 3.230], [-0.549, -1.524, 4.574], [0.370, 4.215, 2.385]],
  "species": ["Ag", "In", "Zn", "Zn"],
  "fractional_positions": [[0.495, 0.495, 0.527], [0.249, 0.249, 0.247], [0.006, 0.006, 0.973], [0.750, 0.750, 0.753]],
  "volume_a3_per_cell": 75.06,
  "dos_at_fermi_per_ev_cell": 0.868,
  "crystal_system": "monoclinic",
  "e_form_mev_per_atom": 47,
  "magmom_total_mub_per_cell": 0.0
}



[13]
{
  "formula": "Zn6InAg2",
  "functional": "PBE-GGA",
  "state": "relaxed",
  "cell": [[-5.179, -2.669, 2.272], [0.298, -3.503, 5.171], [-2.508, 2.083, 5.336]],
  "species": ["Zn", "Zn", "Zn", "Zn", "Zn", "Zn", "In", "Ag", "Ag"],
  "fractional_positions": [[0.708, 0.708, 0.292], [0.292, 0.708, 0.708], [0.292, 0.708, 0.292], [0.292, 0.292, 0.708], [0.708, 0.292, 0.292], [0.708, 0.292, 0.708], [0.000, 0.000, 0.000], [0.250, 0.250, 0.250], [0.750, 0.750, 0.750]],
  "volume_a3_per_cell": 172.89,
  "dos_at_fermi_per_ev_cell": 2.443,
  "crystal_system": "cubic",
  "e_form_mev_per_atom": 268,
  "magmom_total_mub_per_cell": 0.0
}



[14]
{
  "formula": "Zn2InAg",
  "functional": "PBE-GGA",
  "state": "relaxed",
  "cell": [[-5.385, 0.393, -2.018], [-1.155, -1.711, -5.382], [1.809, -1.243, 5.330]],
  "species": ["Ag", "In", "Zn", "Zn"],
  "fractional_positions": [[0.520, 0.520, 0.000], [0.248, 0.748, 0.500], [0.978, 0.978, 0.000], [0.754, 0.254, 0.500]],
  "volume_a3_per_cell": 74.58,
  "dos_at_fermi_per_ev_cell": 1.123,
  "crystal_system": "orthorhombic",
  "e_form_mev_per_atom": 89,
  "magmom_total_mub_per_cell": 0.0
}



[15]
{
  "formula": "ZnIn3Ag6",
  "functional": "PBE-GGA",
  "state": "relaxed",
  "cell": [[-2.817, -3.071, 2.292], [6.478, -4.665, 1.712], [-2.178, 7.579, 7.478]],
  "species": ["Zn", "Zn", "In", "In", "In", "In", "In", "In", "Ag", "Ag", "Ag", "Ag", "Ag", "Ag", "Ag", "Ag", "Ag", "Ag", "Ag", "Ag"],
  "fractional_positions": [[0.250, 0.965, 0.564], [0.750, 0.035, 0.436], [0.250, 0.545, 0.376], [0.750, 0.455, 0.624], [0.250, 0.357, 0.769], [0.750, 0.643, 0.231], [0.250, 0.778, 0.972], [0.750, 0.222, 0.028], [0.250, 0.463, 0.069], [0.750, 0.537, 0.931], [0.250, 0.164, 0.169], [0.750, 0.836, 0.831], [0.250, 0.691, 0.668], [0.750, 0.309, 0.332], [0.250, 0.241, 0.468], [0.750, 0.759, 0.532], [0.250, 0.875, 0.279], [0.750, 0.125, 0.721], [0.250, 0.065, 0.861], [0.750, 0.935, 0.139]],
  "volume_a3_per_cell": 384.27,
  "dos_at_fermi_per_ev_cell": 4.606,
  "crystal_system": "monoclinic",
  "e_form_mev_per_atom": -8,
  "magmom_total_mub_per_cell": 0.0
}



[16]
{
  "formula": "Zn6InAg",
  "functional": "PBE-GGA",
  "state": "relaxed",
  "cell": [[-1.253, -3.504, -3.193], [3.772, 1.126, -2.716], [3.204, -3.774, 2.885]],
  "species": ["Zn", "Zn", "Zn", "Zn", "Zn", "Zn", "In", "Ag"],
  "fractional_positions": [[0.500, 0.842, 0.259], [0.000, 0.164, 0.731], [0.000, 0.164, 0.269], [0.500, 0.842, 0.741], [0.000, 0.666, 0.500], [0.500, 0.312, 0.000], [0.000, 0.664, 0.000], [0.500, 0.346, 0.500]],
  "volume_a3_per_cell": 134.35,
  "dos_at_fermi_per_ev_cell": 1.121,
  "crystal_system": "orthorhombic",
  "e_form_mev_per_atom": 49,
  "magmom_total_mub_per_cell": 0.0
}



[17]
{
  "formula": "Zn6InAg12",
  "functional": "PBE-GGA",
  "state": "relaxed",
  "cell": [[-4.255, -1.395, 6.116], [6.623, -3.552, 0.990], [1.418, 7.445, -0.123]],
  "species": ["Zn", "Zn", "Zn", "Zn", "Zn", "Zn", "In", "Ag", "Ag", "Ag", "Ag", "Ag", "Ag", "Ag", "Ag", "Ag", "Ag", "Ag", "Ag"],
  "fractional_positions": [[0.700, 0.294, 0.294], [0.294, 0.294, 0.700], [0.294, 0.700, 0.294], [0.706, 0.706, 0.300], [0.300, 0.706, 0.706], [0.706, 0.300, 0.706], [0.000, 0.000, 0.000], [0.882, 0.118, 0.500], [0.876, 0.635, 0.635], [0.635, 0.635, 0.876], [0.365, 0.124, 0.365], [0.365, 0.365, 0.124], [0.124, 0.365, 0.365], [0.118, 0.500, 0.882], [0.500, 0.882, 0.118], [0.118, 0.882, 0.500], [0.882, 0.500, 0.118], [0.500, 0.118, 0.882], [0.635, 0.876, 0.635]],
  "volume_a3_per_cell": 358.78,
  "dos_at_fermi_per_ev_cell": 4.804,
  "relative_energy_mev_per_atom": 13,
  "crystal_system": "trigonal",
  "e_form_mev_per_atom": 102,
  "magmom_total_mub_per_cell": 0.0
}



[18]
{
  "formula": "Zn2InAg",
  "functional": "PBE-GGA",
  "state": "relaxed",
  "cell": [[-0.331, 1.624, -5.609], [-0.100, -4.150, -4.120], [-2.376, 2.719, 4.601]],
  "species": ["Ag", "In", "Zn", "Zn"],
  "fractional_positions": [[0.750, 0.250, 0.500], [0.250, 0.750, 0.500], [0.984, 0.984, 0.000], [0.516, 0.516, 0.000]],
  "volume_a3_per_cell": 76.09,
  "dos_at_fermi_per_ev_cell": 1.144,
  "crystal_system": "orthorhombic",
  "e_form_mev_per_atom": 101,
  "magmom_total_mub_per_cell": 0.0
}



[19]
{
  "formula": "Zn4InAg8",
  "functional": "PBE-GGA",
  "state": "relaxed",
  "cell": [[3.862, 0.000, 0.837], [1.560, 4.350, 2.131], [-0.910, 0.787, 13.537]],
  "species": ["Zn", "Zn", "Zn", "Zn", "In", "Ag", "Ag", "Ag", "Ag", "Ag", "Ag", "Ag", "Ag"],
  "fractional_positions": [[0.366, 0.839, 0.429], [0.890, 0.426, 0.794], [0.142, 0.577, 0.139], [0.665, 0.165, 0.505], [0.516, 0.001, 0.967], [0.064, 0.512, 0.359], [0.450, 0.900, 0.201], [0.582, 0.104, 0.733], [0.967, 0.492, 0.574], [0.758, 0.199, 0.285], [0.215, 0.687, 0.883], [0.274, 0.804, 0.648], [0.817, 0.316, 0.050]],
  "volume_a3_per_cell": 225.26,
  "dos_at_fermi_per_ev_cell": 3.186,
  "crystal_system": "monoclinic",
  "e_form_mev_per_atom": -16,
  "magmom_total_mub_per_cell": 0.0
}



[20]
{
  "formula": "Zn2InAg",
  "functional": "PBE-GGA",
  "state": "relaxed",
  "cell": [[-0.795, 0.611, 3.440], [-2.720, -1.789, 1.497], [3.417, -5.731, 3.691]],
  "species": ["Zn", "Zn", "In", "Ag"],
  "fractional_positions": [[0.079, 0.079, 0.768], [0.252, 0.252, 0.231], [0.502, 0.502, 0.499], [0.666, 0.666, 0.002]],
  "volume_a3_per_cell": 82.35,
  "dos_at_fermi_per_ev_cell": 0.950,
  "crystal_system": "monoclinic",
  "e_form_mev_per_atom": 170,
  "magmom_total_mub_per_cell": 0.0
}



[21]
{
  "formula": "ZnIn2Ag2",
  "functional": "PBE-GGA",
  "state": "relaxed",
  "cell": [[4.234, 0.000, 0.000], [0.000, 4.234, 0.000], [2.117, 2.117, 6.649]],
  "species": ["Zn", "Ag", "Ag", "In", "In"],
  "fractional_positions": [[0.000, 0.000, 0.000], [0.400, 0.400, 0.200], [0.600, 0.600, 0.800], [0.750, 0.250, 0.500], [0.250, 0.750, 0.500]],
  "volume_a3_per_cell": 119.20,
  "dos_at_fermi_per_ev_cell": 2.569,
  "relative_energy_mev_per_atom": 252,
  "crystal_system": "tetragonal",
  "e_form_mev_per_atom": 276,
  "magmom_total_mub_per_cell": 0.0
}



[22]
{
  "formula": "Zn3InAg12",
  "functional": "PBE-GGA",
  "state": "relaxed",
  "cell": [[4.085, 0.000, 0.000], [0.000, 4.085, 0.000], [0.000, 0.000, 16.838]],
  "species": ["Zn", "Zn", "Zn", "In", "Ag", "Ag", "Ag", "Ag", "Ag", "Ag", "Ag", "Ag", "Ag", "Ag", "Ag", "Ag"],
  "fractional_positions": [[0.000, 0.000, 0.253], [0.000, 0.000, 0.500], [0.000, 0.000, 0.747], [0.000, 0.000, 0.000], [0.500, 0.500, 0.000], [0.500, 0.500, 0.255], [0.500, 0.500, 0.500], [0.500, 0.500, 0.745], [0.500, 0.000, 0.133], [0.500, 0.000, 0.377], [0.500, 0.000, 0.623], [0.500, 0.000, 0.867], [0.000, 0.500, 0.133], [0.000, 0.500, 0.377], [0.000, 0.500, 0.623], [0.000, 0.500, 0.867]],
  "volume_a3_per_cell": 280.96,
  "dos_at_fermi_per_ev_cell": 5.937,
  "crystal_system": "tetragonal",
  "e_form_mev_per_atom": -8,
  "magmom_total_mub_per_cell": 0.0
}